1.
Here is a relaxed structure of SeI3Br from the Alexandria database. Energies are from PBE.

The space group is Pm-3m (No. 221) and the conventional cell measures 5.721, 5.721 and 5.721 Å, with angles of 90.00, 90.00 and 90.00 degrees. Symmetry generates all atoms from Se at (0.000, 0.000, 0.000), I at (0.000, 0.000, 0.500) and Br at (0.500, 0.500, 0.500).

The volume is 187.22 Å³/f.u. The raw formation energy comes out at 0.307 eV per atom.

---

2.
Here is a relaxed structure of PaNbTc2 from the Alexandria database. Energies are from PBE.

The space group is P4/mmm (No. 123) and the conventional cell measures 4.712, 4.712 and 3.293 Å, with angles of 90.00, 90.00 and 90.00 degrees. Symmetry generates all atoms from Pa at (0.000, 0.000, 0.000), Nb at (0.500, 0.500, 0.000) and Tc at (0.000, 0.500, 0.500).

The volume is 73.09 Å³/f.u. The energy relative to the elements comes out at -0.214 eV/atom.

---

3.
Here is a relaxed structure of MgSiSn from the Alexandria database. Energies are from PBE.

The space group is P2_1/m (No. 11) and the conventional cell measures 4.853, 3.714 and 7.568 Å, with angles of 90.00, 94.50 and 90.00 degrees. Symmetry generates all atoms from Mg at (0.031, 0.250, 0.176), Si at (0.427, 0.750, 0.083) and Sn at (0.291, 0.250, 0.584).

The volume is 67.99 Å³/f.u. The raw formation energy comes out at 0.051 eV per atom.

---

4.
Here is a relaxed structure of Li2ZnNi from the Alexandria database. Energies are from PBE.

The space group is Cm (No. 8) and the conventional cell measures 4.531, 2.608 and 8.946 Å, with angles of 90.00, 99.87 and 90.00 degrees. Symmetry generates all atoms from Li at (0.000, 0.000, 0.000), Li at (0.179, 0.000, 0.537), Zn at (0.423, 0.000, 0.269) and Ni at (0.089, 0.500, 0.768).

The volume is 52.08 Å³/f.u. The energy relative to the elements comes out at -0.036 eV/atom.

---

5.
Here is a relaxed structure of Ta2BeCr from the Alexandria database. Energies are from PBE.

The space group is R3m (No. 160, hexagonal axes) and the conventional cell measures 3.0586, 3.0586 and 21.8304 Å, with angles of 90.00, 90.00 and 120.00 degrees. Symmetry generates all atoms from Ta at (0.0000, 0.0000, 0.0000), Ta at (0.0000, 0.0000, 0.2265), Be at (0.0000, 0.0000, 0.7460) and Cr at (0.0000, 0.0000, 0.4744).

The volume is 58.96 Å³/f.u. The energy relative to the elements comes out at 0.375 eV/atom.

---

6.
Here is a relaxed structure of Np2GaSiPt6 from the Alexandria database. Energies are from PBE.

The space group is Fm-3m (No. 225) and the conventional cell measures 9.340, 9.340 and 9.340 Å, with angles of 90.00, 90.00 and 90.00 degrees. Symmetry generates all atoms from Np at (0.250, 0.250, 0.250), Ga at (0.000, 0.000, 0.000), Si at (0.000, 0.000, 0.500) and Pt at (0.000, 0.000, 0.256).

The volume is 203.67 Å³/f.u. The raw formation energy comes out at -0.172 eV per atom.

---

7.
Here is a relaxed structure of AlIrCl2 from the Alexandria database. Energies are from PBE.

The space group is Cm (No. 8) and the conventional cell measures 6.921, 2.994 and 9.183 Å, with angles of 90.00, 108.91 and 90.00 degrees. Symmetry generates all atoms from Al at (0.000, 0.000, 0.000), Ir at (0.144, 0.500, 0.829), Cl at (0.060, 0.500, 0.202) and Cl at (0.063, 0.000, 0.622).

The volume is 90.00 Å³/f.u. The raw formation energy comes out at -0.538 eV per atom.

---

8.
Here is a relaxed structure of Cs2TcSBr5 from the Alexandria database. Energies are from PBE.

The space group is I4mm (No. 107) and the conventional cell measures 7.798, 7.798 and 10.830 Å, with angles of 90.00, 90.00 and 90.00 degrees. Symmetry generates all atoms from Cs at (0.000, 0.500, 0.000), Tc at (0.000, 0.000, 0.232), S at (0.000, 0.000, 0.033), Br at (0.000, 0.000, 0.479) and Br at (0.232, 0.232, 0.249).

The volume is 329.26 Å³/f.u. The raw formation energy comes out at -0.955 eV per atom.

---

9.
Here is a relaxed structure of Cd2InAg from the Alexandria database. Energies are from PBE.

The space group is P4mm (No. 99) and the conventional cell measures 3.231, 3.231 and 8.485 Å, with angles of 90.00, 90.00 and 90.00 degrees. Symmetry generates all atoms from Cd at (0.000, 0.000, 0.000), Cd at (0.500, 0.500, 0.255), In at (0.000, 0.000, 0.532) and Ag at (0.500, 0.500, 0.773).

The volume is 88.60 Å³/f.u. The energy relative to the elements comes out at 0.017 eV/atom.

---

10.
Here is a relaxed structure of BiTePb2 from the Alexandria database. Energies are from PBE.

The space group is P4/mmm (No. 123) and the conventional cell measures 5.936, 5.936 and 3.624 Å, with angles of 90.00, 90.00 and 90.00 degrees. Symmetry generates all atoms from Bi at (0.000, 0.000, 0.000), Te at (0.500, 0.500, 0.000) and Pb at (0.000, 0.500, 0.500).

The volume is 127.69 Å³/f.u. The raw formation energy comes out at -0.028 eV per atom.

---

11.
Here is a relaxed structure of RbCd3Rh from the Alexandria database. Energies are from PBE.

The space group is C2/m (No. 12) and the conventional cell measures 16.721, 5.065 and 7.455 Å, with angles of 90.00, 97.92 and 90.00 degrees. Symmetry generates all atoms from Rb at (0.144, 0.000, 0.408), Cd at (0.019, 0.500, 0.690), Cd at (0.083, 0.000, 0.919), Cd at (0.239, 0.500, 0.101) and Rh at (0.079, 0.500, 0.043).

The volume is 156.33 Å³/f.u. The energy relative to the elements comes out at 0.059 eV/atom.

---

12.
Here is a relaxed structure of Tb5NdSm2Ho from the Alexandria database. Energies are from PBE.

The space group is I4/mcm (No. 140) and the conventional cell measures 8.789, 8.789 and 15.379 Å, with angles of 90.00, 90.00 and 90.00 degrees. Symmetry generates all atoms from Tb at (0.000, 0.000, 0.000), Tb at (0.209, 0.291, 0.137), Nd at (0.000, 0.000, 0.250), Sm at (0.116, 0.384, 0.500) and Ho at (0.000, 0.500, 0.250).

The volume is 296.98 Å³/f.u. The energy relative to the elements comes out at 0.275 eV/atom.

---

13.
Here is a relaxed structure of LaIrSF from the Alexandria database. Energies are from PBE.

The space group is Cm (No. 8) and the conventional cell measures 7.422, 4.240 and 6.054 Å, with angles of 90.00, 122.55 and 90.00 degrees. Symmetry generates all atoms from La at (0.000, 0.000, 0.000), Ir at (0.132, 0.000, 0.607), S at (0.053, 0.500, 0.498) and F at (0.189, 0.500, 0.079).

The volume is 80.30 Å³/f.u. The raw formation energy comes out at -1.712 eV per atom.

---

14.
Here is a relaxed structure of Sr2SbTe2 from the Alexandria database. Energies are from PBE.

The space group is P4/mbm (No. 127) and the conventional cell measures 8.948, 8.948 and 4.321 Å, with angles of 90.00, 90.00 and 90.00 degrees. Symmetry generates all atoms from Sr at (0.150, 0.350, 0.000), Sb at (0.000, 0.000, 0.000) and Te at (0.159, 0.659, 0.500).

The volume is 172.98 Å³/f.u. The raw formation energy comes out at -0.910 eV per atom.

---

15.
Here is a relaxed structure of Sr4CoAu from the Alexandria database. Energies are from PBE.

The space group is F-43m (No. 216) and the conventional cell measures 9.749, 9.749 and 9.749 Å, with angles of 90.00, 90.00 and 90.00 degrees. Symmetry generates all atoms from Sr at (0.125, 0.125, 0.125), Co at (0.000, 0.000, 0.500) and Au at (0.250, 0.250, 0.750).

The volume is 231.61 Å³/f.u. The energy relative to the elements comes out at 0.899 eV/atom.

---

16.
Here is a relaxed structure of Fe3RhS from the Alexandria database. Energies are from PBE.

The space group is Pm-3m (No. 221) and the conventional cell measures 4.027, 4.027 and 4.027 Å, with angles of 90.00, 90.00 and 90.00 degrees. Symmetry generates all atoms from Fe at (0.000, 0.000, 0.500), Rh at (0.500, 0.500, 0.500) and S at (0.000, 0.000, 0.000).

The volume is 65.29 Å³/f.u. The raw formation energy comes out at 0.552 eV per atom.